(1)
A plane-wave DFT calculation with PBE was carried out for crystalline Li2YCoAs at its relaxed geometry.

Cell lengths 5.187, 5.187, 4.433 Å; angles 90.00, 90.00, 90.00 degrees
Fractional coordinates of all 5 atoms:
Li: 0.000 0.500 0.000
Li: 0.500 0.000 0.000
Y: 0.000 0.000 0.000
Co: 0.000 0.000 0.500
As: 0.500 0.500 0.500

Formation energy from the elements = 1103 meV/atom
Total magnetization = 0.000 μB/cell
Calculated density = 3.29 g cm⁻³



(2)
A plane-wave DFT calculation with PBE was carried out for crystalline TcSe at its relaxed geometry.

Cell lengths 2.988, 3.910, 6.772 Å; angles 90.00, 90.17, 90.00 degrees
Fractional coordinates of all 4 atoms:
Tc: 0.249 0.250 0.409
Tc: 0.751 0.750 0.591
Se: 0.252 0.250 0.763
Se: 0.748 0.750 0.237

Total magnetization = 0.000 μB/cell
Energy relative to the elements, uncorrected = -0.0062 eV per atom
Calculated density = 7.43 g cm⁻³